Entry 1:
FeTe2Pt | PBE | relaxed

Computed properties:
- Raw total energy: -4.788 eV per atom
- Formation energy from raw total energies: 1.636 eV/f.u.
- Calculated volume: 82 Å³ per cell
- Density of states at the Fermi level: 5.800 states/eV/cell
- Size of the total moment: 0.706 μB/atom

Lattice parameters (Å, degrees): 5.855 5.855 5.855 140.20 140.20 57.54
Fractional coordinates of all 4 atoms:
Fe  0.000  0.000  0.000
Te  0.250  0.750  0.500
Te  0.500  0.500  0.000
Pt  0.750  0.250  0.500

=====

Entry 2:
FeTe2Pt | PBE | relaxed

Computed properties:
- Raw total energy: -5.098 eV per atom
- Formation energy from raw total energies: 0.393 eV/f.u.
- Calculated volume: 83 Å³ per cell
- Density of states at the Fermi level: 3.157 states/eV/cell
- Size of the total moment: 0.570 μB/atom

Lattice parameters (Å, degrees): 7.312 7.312 7.312 29.35 29.35 29.35
Fractional coordinates of all 4 atoms:
Fe  0.000  0.000  0.000
Te  0.251  0.251  0.251
Te  0.749  0.749  0.749
Pt  0.500  0.500  0.500

=====

Entry 3:
FeTe2Pt | PBE | relaxed

Computed properties:
- Raw total energy: -4.908 eV per atom
- Formation energy from raw total energies: 1.156 eV/f.u.
- Calculated volume: 77 Å³ per cell
- Density of states at the Fermi level: 1.904 states/eV/cell
- Size of the total moment: 0.470 μB/atom

Lattice parameters (Å, degrees): 3.403 3.403 6.638 90.00 90.00 90.00
Fractional coordinates of all 4 atoms:
Fe  0.000  0.000  0.000
Te  0.500  0.500  0.238
Te  0.500  0.500  0.762
Pt  0.000  0.000  0.500

=====

Entry 4:
FeTe2Pt | PBE | relaxed

Computed properties:
- Raw total energy: -5.087 eV per atom
- Formation energy from raw total energies: 0.439 eV/f.u.
- Calculated volume: 95 Å³ per cell
- Density of states at the Fermi level: 3.376 states/eV/cell
- Size of the total moment: 0.701 μB/atom

Lattice parameters (Å, degrees): 7.687 7.687 7.687 153.24 152.38 38.83
Fractional coordinates of all 4 atoms:
Fe  0.000  0.000  0.000
Te  0.573  0.573  0.000
Te  0.807  0.307  0.500
Pt  0.373  0.873  0.500